Sc2GeBi: relaxed, PBE-GGA.

a b c (Å): 9.0053 9.0053 9.0053
angles (deg): 25.10 25.10 25.10
Last column: nearest neighbours and their distance in Å.
Positions (direct):
Bi (0.0000, 0.0000, 0.0000)  2 Sc 2.95
Ge (0.5000, 0.5000, 0.5000)  6 Sc 2.66
Sc (0.1129, 0.1129, 0.1129)  3 Ge 2.66, 1 Bi 2.95
Sc (0.8871, 0.8871, 0.8871)  3 Ge 2.66, 1 Bi 2.95

Output
DFT total energy in eV/atom: -5.590